(1)
Compound: TcAgAs2
Source: the Alexandria database
Functional: PBEsol
Structure: optimized geometry

Results
**Energy above the lowest structure with this stoichiometry**: 0.000 eV/atom
**Total energy**: -5.915 eV per atom
**Calculated formation energy**: 0.28 eV/atom

abc: 2.9156 2.9156 8.9038
angles: 90.00 90.00 116.76
Element x y z (fractional)
As: 0.0000 0.0000 0.7213
Tc: 0.5000 0.5000 0.5000
Ag: 0.5000 0.5000 0.0000
As: 0.0000 0.0000 0.2787



(2)
Compound: TcAgAs2
Source: the Alexandria database
Functional: PBEsol
Structure: optimized geometry

Results
**Energy above the lowest structure with this stoichiometry**: 0.347 eV/atom
**Total energy**: -5.568 eV per atom
**Calculated formation energy**: 0.63 eV/atom

abc: 4.5034 4.5034 4.5034
angles: 60.00 60.00 60.00
Element x y z (fractional)
As: 0.7500 0.7500 0.7500
Ag: 0.5000 0.5000 0.5000
As: 0.0000 0.0000 0.0000
Tc: 0.2500 0.2500 0.2500



(3)
Compound: Tc2AgAs
Source: the Alexandria database
Functional: PBEsol
Structure: optimized geometry

Results
**Total energy**: -7.193 eV per atom
**Calculated formation energy**: 0.54 eV/atom

abc: 2.7768 4.9232 5.1806
angles: 116.54 102.58 96.06
Element x y z (fractional)
As: 0.0000 0.5000 0.0000
Tc: 0.5000 0.5000 0.5000
Tc: 0.0000 0.0000 0.5000
Ag: 0.5000 0.0000 0.0000



(4)
Compound: Tc2AgAs
Source: the Alexandria database
Functional: PBEsol
Structure: optimized geometry

Results
**Total energy**: -7.378 eV per atom
**Calculated formation energy**: 0.36 eV/atom

abc: 3.0305 4.3574 4.3574
angles: 90.00 90.00 90.00
Element x y z (fractional)
Ag: 0.5000 0.5000 0.5000
Tc: 0.0000 0.0000 0.5000
Tc: 0.0000 0.5000 0.0000
As: 0.5000 0.0000 0.0000